<i>
Pm3YTm6: relaxed, PBE.

For the density of states at the Fermi level, the calculation gives 52.809 states/eV/cell.

The space group is Cmc2_1 (No. 36) and the conventional cell measures 10.860, 18.660 and 6.324 Å, with angles of 90.00, 90.00 and 90.00 degrees. The distinct sites, in fractional coordinates, are Pm at (0.000, 0.112, 0.000), Pm at (0.180, 0.387, 0.398), Y at (0.000, 0.310, 0.061), Tm at (0.000, 0.232, 0.584), Tm at (0.000, 0.464, 0.788), Tm at (0.168, 0.046, 0.475) and Tm at (0.237, 0.211, 0.300).


<ii>
Pm3YTm6: relaxed, PBE.

For the density of states at the Fermi level, the calculation gives 58.708 states/eV/cell.

The space group is R3 (No. 146, hexagonal axes) and the conventional cell measures 9.8246, 9.8246 and 11.5321 Å, with angles of 90.00, 90.00 and 120.00 degrees. The distinct sites, in fractional coordinates, are Pm at (0.0000, 0.0000, 0.0000), Pm at (0.0000, 0.0000, 0.2494), Pm at (0.0000, 0.0000, 0.7503), Y at (0.0000, 0.0000, 0.4999), Tm at (0.0019, 0.3294, 0.2503) and Tm at (0.0058, 0.6687, 0.4151).


Which of them is least stable? Easy: <ii>.


<i>
Pm4YTm: relaxed, PBE.

For the density of states at the Fermi level, the calculation gives 19.323 states/eV/cell.

The space group is Cmmm (No. 65) and the conventional cell measures 11.684, 11.705 and 3.469 Å, with angles of 90.00, 90.00 and 90.00 degrees. The distinct sites, in fractional coordinates, are Pm at (0.000, 0.242, 0.000), Pm at (0.238, 0.500, 0.500), Y at (0.000, 0.000, 0.500) and Tm at (0.000, 0.500, 0.000).


<ii>
Pm4YTm: relaxed, PBE.

For the density of states at the Fermi level, the calculation gives 40.694 states/eV/cell.

The space group is F-43m (No. 216) and the conventional cell measures 9.403, 9.403 and 9.403 Å, with angles of 90.00, 90.00 and 90.00 degrees. The distinct sites, in fractional coordinates, are Pm at (0.125, 0.125, 0.125), Y at (0.000, 0.000, 0.500) and Tm at (0.250, 0.250, 0.750).


Which of them is least stable? Easy: <i>.


<i>
Pm4YTm7: relaxed, PBE.

For the density of states at the Fermi level, the calculation gives 18.817 states/eV/cell.

The space group is P-1 (No. 2) and the conventional cell measures 6.545, 6.817 and 8.948 Å, with angles of 84.00, 77.26 and 80.85 degrees. The distinct sites, in fractional coordinates, are Pm at (0.137, 0.303, 0.290), Pm at (0.335, 0.886, 0.690), Y at (0.500, 0.500, 0.000), Tm at (0.014, 0.252, 0.953), Tm at (0.182, 0.792, 0.352), Tm at (0.314, 0.395, 0.620) and Tm at (0.500, 0.000, 0.000).


<ii>
Pm4YTm7: relaxed, PBE.

For the density of states at the Fermi level, the calculation gives 39.537 states/eV/cell.

The space group is C2/m (No. 12) and the conventional cell measures 12.092, 5.850 and 12.720 Å, with angles of 90.00, 118.37 and 90.00 degrees. The distinct sites, in fractional coordinates, are Pm at (0.139, 0.000, 0.277), Pm at (0.225, 0.500, 0.168), Y at (0.000, 0.500, 0.500), Tm at (0.000, 0.000, 0.500), Tm at (0.068, 0.500, 0.813), Tm at (0.132, 0.000, 0.995) and Tm at (0.213, 0.500, 0.424).


Which of them is least stable? Easy: <ii>.


<i>
Pm6Y4Tm: relaxed, PBE.

For the density of states at the Fermi level, the calculation gives 76.322 states/eV/cell.

The space group is Cmcm (No. 63) and the conventional cell measures 5.843, 9.728 and 25.865 Å, with angles of 90.00, 90.00 and 90.00 degrees. The distinct sites, in fractional coordinates, are Pm at (0.000, 0.000, 0.000), Pm at (0.000, 0.046, 0.250), Pm at (0.000, 0.303, 0.603), Pm at (0.000, 0.373, 0.183), Y at (0.000, 0.038, 0.124), Y at (0.000, 0.349, 0.044) and Tm at (0.000, 0.292, 0.750).


<ii>
Pm6Y4Tm: relaxed, PBE.

For the density of states at the Fermi level, the calculation gives 34.424 states/eV/cell.

The space group is I-42m (No. 121) and the conventional cell measures 6.739, 6.739 and 16.795 Å, with angles of 90.00, 90.00 and 90.00 degrees. The distinct sites, in fractional coordinates, are Pm at (0.000, 0.500, 0.000), Pm at (0.189, 0.189, 0.175), Y at (0.177, 0.177, 0.378) and Tm at (0.000, 0.000, 0.000).


Which of them is least stable? Easy: <ii>.


<i>
PmY2Tm3: relaxed, PBE.

For the density of states at the Fermi level, the calculation gives 37.082 states/eV/cell.

The space group is Cmc2_1 (No. 36) and the conventional cell measures 9.399, 12.372 and 6.740 Å, with angles of 90.00, 90.00 and 90.00 degrees. The distinct sites, in fractional coordinates, are Pm at (0.000, 0.146, 0.000), Y at (0.172, 0.387, 0.247), Tm at (0.000, 0.152, 0.495) and Tm at (0.172, 0.348, 0.748).


<ii>
PmY2Tm3: relaxed, PBE.

For the density of states at the Fermi level, the calculation gives 35.948 states/eV/cell.

The space group is C2/c (No. 15) and the conventional cell measures 17.360, 7.090 and 6.131 Å, with angles of 90.00, 90.17 and 90.00 degrees. The distinct sites, in fractional coordinates, are Pm at (0.000, 0.124, 0.250), Y at (0.167, 0.375, 0.416), Tm at (0.000, 0.375, 0.750) and Tm at (0.167, 0.125, 0.917).


Which of them is least stable? Easy: <i>.


<i>
Pm3Y7Tm2: relaxed, PBE.

For the density of states at the Fermi level, the calculation gives 20.023 states/eV/cell.

The space group is P2/m (No. 10) and the conventional cell measures 3.631, 5.591 and 20.645 Å, with angles of 90.00, 95.06 and 90.00 degrees. The distinct sites, in fractional coordinates, are Pm at (0.000, 0.000, 0.000), Pm at (0.330, 0.500, 0.663), Y at (0.087, 0.500, 0.173), Y at (0.215, 0.000, 0.430), Y at (0.432, 0.000, 0.865), Y at (0.500, 0.500, 0.000) and Tm at (0.138, 0.000, 0.273).


<ii>
Pm3Y7Tm2: relaxed, PBE.

For the density of states at the Fermi level, the calculation gives 15.882 states/eV/cell.

The space group is P2/m (No. 10) and the conventional cell measures 5.851, 3.574 and 18.820 Å, with angles of 90.00, 93.09 and 90.00 degrees. The distinct sites, in fractional coordinates, are Pm at (0.000, 0.000, 0.000), Pm at (0.280, 0.500, 0.634), Y at (0.188, 0.500, 0.144), Y at (0.243, 0.000, 0.463), Y at (0.309, 0.000, 0.821), Y at (0.500, 0.500, 0.000) and Tm at (0.208, 0.000, 0.293).


Which of them is least stable? Easy: <i>.